Computed, not measured: a geometry-optimized CdRu2Rh structure at the GGA-PBE level of DFT.

Computed properties:
total magnetic moment = 0.0 μB/f.u.
electronic total energy = -6.45 eV per atom

Lattice parameters (Å, degrees): 4.8651 4.8651 4.8306 79.93 79.93 33.25
Positions (direct):
Cd1 0.7500 0.7500 0.7500
Rh1 0.2500 0.2500 0.2500
Ru1 0.9878 0.9878 0.0253
Ru2 0.5122 0.5122 0.4747

Computed, not measured: a geometry-optimized CdRu2Rh structure at the GGA-PBE level of DFT.

Computed properties:
total magnetic moment = 0.0 μB/f.u.
electronic total energy = -6.38 eV per atom

Lattice parameters (Å, degrees): 4.9512 4.9512 4.9512 134.31 134.31 66.60
Positions (direct):
Cd1 0.2500 0.7500 0.5000
Rh1 0.7500 0.2500 0.5000
Ru1 0.0000 0.0000 0.0000
Ru2 0.5000 0.5000 0.0000

Computed, not measured: a geometry-optimized Cd2RuRh structure at the GGA-PBE level of DFT.

Computed properties:
total magnetic moment = 0.5 μB/f.u.
electronic total energy = -4.43 eV per atom

Lattice parameters (Å, degrees): 5.0015 5.0015 4.9955 79.12 79.12 33.60
Positions (direct):
Cd1 0.9925 0.9925 0.0061
Cd2 0.7574 0.7574 0.7450
Rh1 0.5121 0.5121 0.4812
Ru1 0.2379 0.2379 0.2677

Computed, not measured: a geometry-optimized Cd2RuRh structure at the GGA-PBE level of DFT.

Computed properties:
total magnetic moment = 1.3 μB/f.u.
electronic total energy = -4.36 eV per atom

Lattice parameters (Å, degrees): 4.9188 4.9188 4.9188 130.26 130.26 72.99
Positions (direct):
Cd1 0.0000 0.0000 0.0000
Cd2 0.2500 0.7500 0.5000
Rh1 0.5000 0.5000 0.0000
Ru1 0.7500 0.2500 0.5000

Computed, not measured: a geometry-optimized CdRu2Rh structure at the GGA-PBE level of DFT.

Computed properties:
total magnetic moment = 0.3 μB/f.u.
electronic total energy = -6.46 eV per atom

Lattice parameters (Å, degrees): 4.7918 4.7918 4.9273 80.58 80.58 33.58
Positions (direct):
Cd1 0.5011 0.5011 0.4869
Rh1 0.2581 0.2581 0.2442
Ru1 0.0004 0.0004 0.9787
Ru2 0.7403 0.7403 0.7902

Computed, not measured: a geometry-optimized CdRu2Rh structure at the GGA-PBE level of DFT.

Computed properties:
total magnetic moment = 1.6 μB/f.u.
electronic total energy = -6.32 eV per atom

Lattice parameters (Å, degrees): 2.7523 2.7523 9.3895 90.00 90.00 118.26
Positions (direct):
Cd1 0.0000 0.0000 0.5018
Rh1 0.5000 0.5000 0.7614
Ru1 0.0000 0.0000 0.0023
Ru2 0.5000 0.5000 0.2345

Computed, not measured: a geometry-optimized Cd3RuRh structure at the GGA-PBE level of DFT.

Computed properties:
total magnetic moment = 2.1 μB/f.u.
relative energy among the computed polymorphs = 0 meV per atom
electronic total energy = -2.84 eV per atom

Lattice parameters (Å, degrees): 5.0308 5.0308 5.0308 90.00 90.00 90.00
Positions (direct):
Ru1 0.5000 0.5000 0.5000
Rh1 0.0000 0.0000 0.0000
Cd1 0.0000 0.5000 0.0000
Cd2 0.0000 0.0000 0.5000
Cd3 0.5000 0.0000 0.0000

Computed, not measured: a geometry-optimized Cd2RuRh structure at the GGA-PBE level of DFT.

Computed properties:
total magnetic moment = 2.2 μB/f.u.
electronic total energy = -4.34 eV per atom

Lattice parameters (Å, degrees): 4.5925 4.5925 4.5925 60.00 60.00 60.00
Positions (direct):
Cd1 0.0000 0.0000 0.0000
Cd2 0.2500 0.2500 0.2500
Rh1 0.5000 0.5000 0.5000
Ru1 0.7500 0.7500 0.7500

Computed, not measured: a geometry-optimized CdRu2Rh structure at the GGA-PBE level of DFT.

Computed properties:
total magnetic moment = 0.0 μB/f.u.
electronic total energy = -6.42 eV per atom

Lattice parameters (Å, degrees): 2.7623 2.7623 8.0703 90.00 90.00 90.00
Positions (direct):
Cd1 0.5000 0.5000 0.2500
Rh1 0.5000 0.5000 0.7500
Ru1 0.0000 0.0000 0.9790
Ru2 0.0000 0.0000 0.5210

Computed, not measured: a geometry-optimized Cd2RuRh structure at the GGA-PBE level of DFT.

Computed properties:
total magnetic moment = 0.0 μB/f.u.
electronic total energy = -4.54 eV per atom

Lattice parameters (Å, degrees): 2.8836 2.8834 8.3186 90.00 90.00 90.00
Positions (direct):
Cd1 0.0000 0.0000 0.9732
Cd2 0.5000 0.5000 0.2776
Rh1 0.0000 0.0000 0.5267
Ru1 0.5000 0.5000 0.7225

Computed, not measured: a geometry-optimized CdRu3Rh structure at the GGA-PBE level of DFT.

Computed properties:
total magnetic moment = 2.1 μB/f.u.
relative energy among the computed polymorphs = 0 meV per atom
electronic total energy = -5.56 eV per atom

Lattice parameters (Å, degrees): 4.6839 4.6839 4.6839 90.00 90.00 90.00
Positions (direct):
Ru1 0.0000 0.5000 0.0000
Ru2 0.0000 0.0000 0.5000
Ru3 0.5000 0.0000 0.0000
Rh1 0.0000 0.0000 0.0000
Cd1 0.5000 0.5000 0.5000

Computed, not measured: a geometry-optimized Cd2RuRh structure at the GGA-PBE level of DFT.

Computed properties:
total magnetic moment = 2.1 μB/f.u.
electronic total energy = -3.98 eV per atom

Lattice parameters (Å, degrees): 7.4189 7.4189 5.9184 51.19 51.19 90.00
Positions (direct):
Ru1 0.5000 0.5000 0.0000
Ru2 0.2500 0.7500 0.5000
Rh1 0.0000 0.0000 0.0000
Rh2 0.7500 0.2500 0.5000
Cd1 0.6295 0.1250 0.2500
Cd2 0.1205 0.6250 0.2500
Cd3 0.3750 0.3705 0.7500
Cd4 0.8750 0.8795 0.7500